A plane-wave DFT calculation with PBE was carried out for crystalline Ca7IrN6 at its relaxed geometry.

a b c (Å): 6.373 9.069 9.069
angles (deg): 80.90 69.43 69.43
Fractional positions:
1 Ca 0.775 0.545 0.455
2 Ca 0.259 0.090 0.650
3 Ca 0.250 0.250 0.250
4 Ca 0.999 0.350 0.910
5 Ca 0.241 0.850 0.410
6 Ca 0.741 0.910 0.350
7 Ca 0.275 0.955 0.045
8 Ca 0.225 0.455 0.545
9 Ca 0.501 0.590 0.150
10 Ca 0.759 0.150 0.590
11 Ca 0.001 0.650 0.090
12 Ca 0.499 0.410 0.850
13 Ca 0.725 0.045 0.955
14 Ca 0.750 0.750 0.750
15 N 0.106 0.649 0.351
16 N 0.394 0.686 0.923
17 N 0.498 0.186 0.423
18 N 0.894 0.423 0.186
19 N 0.606 0.314 0.077
20 N 0.106 0.577 0.814
21 N 0.894 0.351 0.649
22 N 0.502 0.814 0.577
23 N 0.002 0.077 0.314
24 N 0.998 0.923 0.686
25 N 0.606 0.851 0.149
26 N 0.394 0.149 0.851
27 Ir 0.750 0.250 0.250
28 Ir 0.250 0.750 0.750

V   16.39 A^3/atom
DFT total energy   -5.8347 eV/atom
E_form (uncorrected)   -0.633 eV/atom
Crystal system   orthorhombic
DOS at the Fermi energy   0.561 states/eV/atom